A relaxed Pm2NdN3 crystal, computed with PBE.

a = 7.257 Å, b = 5.127 Å, c = 10.890 Å
α = 90.00°, β = 90.00°, γ = 90.00°
Fractional positions:
Pm: 0.126 0.250 0.083
Pm: 0.127 0.250 0.750
Pm: 0.373 0.750 0.250
Pm: 0.374 0.750 0.583
Pm: 0.626 0.250 0.417
Pm: 0.627 0.250 0.750
Pm: 0.873 0.750 0.250
Pm: 0.874 0.750 0.917
Nd: 0.127 0.250 0.416
Nd: 0.373 0.750 0.916
Nd: 0.627 0.250 0.084
Nd: 0.873 0.750 0.584
N: 0.127 0.750 0.084
N: 0.129 0.750 0.749
N: 0.132 0.750 0.416
N: 0.368 0.250 0.916
N: 0.371 0.250 0.249
N: 0.373 0.250 0.584
N: 0.627 0.750 0.416
N: 0.629 0.750 0.751
N: 0.632 0.750 0.084
N: 0.868 0.250 0.584
N: 0.871 0.250 0.251
N: 0.873 0.250 0.916

Energy above the most stable polymorph in this dataset   0.000 eV per atom
DOS(E_F)   0.7 states/eV/f.u.
Energy relative to the elements, uncorrected   -1409 meV/atom
V   405.2 Å³/cell